First-principles (PBE) data for a relaxed structure of ThTlZn2, as listed in the Alexandria database.

Summary:
- Distance to the lowest polymorph of the same formula: 53 meV/atom
- Energy of formation from the pure elements: -0.041 eV per atom

a b c (Å): 5.0384 5.0384 5.0384
angles (deg): 60.00 60.00 60.00
Last column: nearest neighbours and their distance in Å.
Atoms (fractional coordinates):
Th (0.0000, 0.0000, 0.0000)  8 Zn 3.09
Tl (0.5000, 0.5000, 0.5000)  8 Zn 3.09
Zn (0.2500, 0.2500, 0.2500)  4 Tl 3.09, 4 Th 3.09
Zn (0.7500, 0.7500, 0.7500)  4 Tl 3.09, 4 Th 3.09


First-principles (PBE) data for a relaxed structure of SnPSe2Br, as listed in the Alexandria database.

Summary:
- Formation energy from raw total energies: 0.713 eV per atom
- Distance to the lowest polymorph of the same formula: 615 meV/atom

a b c (Å): 5.3561 5.3561 5.4280
angles (deg): 90.00 90.00 90.00
Last column: nearest neighbours and their distance in Å.
Atoms (fractional coordinates):
Sn (0.0000, 0.0000, 0.0000)  4 Se 2.68, 2 Br 2.71
P (0.5000, 0.5000, 0.5000)  4 Br 3.79, 8 Se 3.81
Se (0.0000, 0.5000, 0.0000)  2 Sn 2.68
Se (0.5000, 0.0000, 0.0000)  2 Sn 2.68
Br (0.0000, 0.0000, 0.5000)  2 Sn 2.71


First-principles (PBE) data for a relaxed structure of CaCd2Si2, as listed in the Alexandria database.

Summary:
- Formation energy from raw total energies: 0.064 eV per atom

a b c (Å): 7.4352 7.4352 4.0843
angles (deg): 90.00 90.00 90.00
Last column: nearest neighbours and their distance in Å.
Atoms (fractional coordinates):
Ca (0.0000, 0.0000, 0.0000)  4 Si 3.00
Ca (0.5000, 0.5000, 0.0000)  4 Si 3.00
Cd (0.1764, 0.3236, 0.5000)  6 Si 3.00-3.02
Cd (0.3236, 0.8236, 0.5000)  6 Si 3.00-3.02
Cd (0.6764, 0.1764, 0.5000)  6 Si 3.00-3.02
Cd (0.8236, 0.6764, 0.5000)  6 Si 3.00-3.02
Si (0.1124, 0.6124, 0.0000)  1 Si 2.36
Si (0.3876, 0.1124, 0.0000)  1 Si 2.36
Si (0.6124, 0.8876, 0.0000)  1 Si 2.36
Si (0.8876, 0.3876, 0.0000)  1 Si 2.36


First-principles (PBE) data for a relaxed structure of KCu2Mo, as listed in the Alexandria database.

Summary:
- Distance to the lowest polymorph of the same formula: 281 meV/atom
- Energy of formation from the pure elements: 0.854 eV per atom

a b c (Å): 6.0958 6.0958 6.0958
angles (deg): 155.45 130.42 56.08
Last column: nearest neighbours and their distance in Å.
Atoms (fractional coordinates):
K (0.0000, 0.0000, 0.0000)  2 K 2.59, 4 Cu 2.87
Cu (0.5176, 0.5176, 0.0000)  4 Cu 2.57-2.59, 2 Mo 2.71, 4 K 2.87
Cu (0.7242, 0.2242, 0.5000)  4 Cu 2.57-2.59
Mo (0.2965, 0.7965, 0.5000)  2 Mo 2.59, 2 Cu 2.71


First-principles (PBE) data for a relaxed structure of ScTiH3, as listed in the Alexandria database.

Summary:
- Distance to the lowest polymorph of the same formula: 416 meV/atom

a b c (Å): 3.6420 3.6420 3.6420
angles (deg): 90.00 90.00 90.00
Last column: nearest neighbours and their distance in Å.
Atoms (fractional coordinates):
Sc (0.0000, 0.0000, 0.0000)  6 H 1.82
Ti (0.5000, 0.5000, 0.5000)  12 H 2.58
H (0.0000, 0.0000, 0.5000)  2 Sc 1.82
H (0.0000, 0.5000, 0.0000)  2 Sc 1.82
H (0.5000, 0.0000, 0.0000)  2 Sc 1.82


| no. | calculated volume (Å³/cell) | calculated total energy (eV/atom) |
| --- | --- | --- |
| 1 | 90.44 | -3.124 |
| 2 | 155.72 | -2.898 |
| 3 | 225.79 | -2.872 |
| 4 | 71.30 | -4.177 |
| 5 | 48.31 | -4.875 |